(1)
Here is a relaxed K2PAu crystal from the Alexandria database. Energies are from PBE-GGA.

The structure in POSCAR format:
```
K2PAu
1.0
6.136 0.000 0.000
0.000 6.136 0.000
0.000 0.000 2.899
K P Au
2 1 1
Direct
0.000 0.500 0.000
0.500 0.000 0.000
0.000 0.000 0.500
0.500 0.500 0.500
```

## Properties
- Calculated volume: 109.2 Å³/cell
- DFT formation energy: -0.09 eV/f.u.
- Raw total energy: -11.0 eV per cell

***

(2)
Here is a relaxed Tb2Y3ErTe6 crystal from the Alexandria database. Energies are from PBE-GGA.

The structure in POSCAR format:
```
Tb2Y3ErTe6
1.0
9.492 -2.171 0.000
9.492 2.171 0.000
-1.976 0.000 8.535
Tb Y Er Te
2 3 1 6
Direct
0.169 0.169 0.335
0.831 0.831 0.665
0.169 0.169 0.832
0.500 0.500 0.500
0.831 0.831 0.168
0.500 0.500 0.000
0.000 0.000 0.247
0.000 0.000 0.753
0.334 0.334 0.417
0.335 0.335 0.919
0.665 0.665 0.081
0.666 0.666 0.583
```

## Properties
- Calculated volume: 351.7 Å³/cell
- Raw total energy: -67.6 eV per cell